1.
VASP calculation (PBE-GGA) on a geometry-optimized Co2Ge4Ru structure.

Geometry as POSCAR:
```
Co2Ge4Ru
1.0
-2.131 1.702 1.393
-4.027 -8.765 4.547
7.757 1.587 9.929
Co Ge Ru
8 16 4
direct
0.250 0.437 0.359
0.750 0.076 0.441
0.750 0.063 0.859
0.250 0.424 0.941
0.250 0.937 0.141
0.250 0.924 0.559
0.750 0.563 0.641
0.750 0.576 0.059
0.250 0.235 0.846
0.750 0.969 0.695
0.750 0.852 0.431
0.250 0.648 0.931
0.750 0.586 0.443
0.750 0.086 0.057
0.750 0.765 0.154
0.750 0.265 0.346
0.250 0.031 0.305
0.250 0.914 0.943
0.250 0.531 0.195
0.250 0.735 0.654
0.750 0.352 0.069
0.250 0.148 0.569
0.750 0.469 0.805
0.250 0.414 0.557
0.750 0.779 0.822
0.750 0.279 0.678
0.250 0.221 0.178
0.250 0.721 0.322
```

Values from the calculation:
E_form in eV/atom: -0.10
V in Å³ per atom: 14.81
Total magnetic moment in μB per formula unit: 0.59

---

2.
VASP calculation (PBE-GGA) on a geometry-optimized CoGe2Ru structure.

Geometry as POSCAR:
```
CoGe2Ru
1.0
-2.447 -0.930 -1.504
1.551 0.107 -2.589
1.637 -5.524 0.752
Co Ru Ge
1 1 2
direct
0.500 0.500 0.000
0.500 0.500 0.500
0.000 0.000 0.237
0.000 0.000 0.763
```

Values from the calculation:
E_form in eV/atom: -0.12
V in Å³ per atom: 13.24
Total magnetic moment in μB per formula unit: 0.01

---

3.
VASP calculation (PBE-GGA) on a geometry-optimized CoGe2Ru structure.

Geometry as POSCAR:
```
CoGe2Ru
1.0
-3.276 -1.038 -2.483
-3.883 1.444 0.901
-1.797 2.936 -2.476
Co Ge Ru
1 2 1
direct
0.000 0.000 0.000
0.750 0.750 0.750
0.250 0.250 0.250
0.500 0.500 0.500
```

Values from the calculation:
E_form in eV/atom: -0.07
V in Å³ per atom: 13.47
Total magnetic moment in μB per formula unit: 0.91

---

4.
VASP calculation (PBE-GGA) on a geometry-optimized CoGe4Ru structure.

Geometry as POSCAR:
```
CoGe4Ru
1.0
-2.870 0.916 5.082
-0.273 -6.696 1.053
4.971 4.163 2.057
Ge Co Ru
8 2 2
direct
0.780 0.645 0.868
0.720 0.145 0.868
0.719 0.633 0.346
0.781 0.133 0.346
0.281 0.367 0.654
0.220 0.355 0.132
0.280 0.855 0.132
0.219 0.867 0.654
0.500 0.500 0.000
0.000 0.000 0.000
0.000 0.500 0.500
0.500 0.000 0.500
```

Values from the calculation:
E_form in eV/atom: -0.06
V in Å³ per atom: 18.40
Total magnetic moment in μB per formula unit: 0.94

---

5.
VASP calculation (PBE-GGA) on a geometry-optimized Co5Ge6Ru structure.

Geometry as POSCAR:
```
Co5Ge6Ru
1.0
7.205 0.378 -0.002
2.229 3.535 -0.004
1.113 1.761 6.260
Ge Co Ru
6 5 1
direct
0.749 0.421 0.661
0.251 0.919 0.661
0.258 0.242 0.000
0.251 0.579 0.339
0.749 0.081 0.339
0.742 0.758 0.000
0.500 0.500 0.000
0.000 0.334 0.333
0.500 0.169 0.663
0.500 0.831 0.337
0.000 0.666 0.667
0.000 0.000 0.000
```

Values from the calculation:
E_form in eV/atom: -0.05
V in Å³ per atom: 12.85
Total magnetic moment in μB per formula unit: 4.28

---

6.
VASP calculation (PBE-GGA) on a geometry-optimized CoGe3Ru structure.

Geometry as POSCAR:
```
CoGe3Ru
1.0
-4.265 -0.216 -1.305
1.264 -1.964 -3.806
-0.390 -4.005 1.937
Co Ge Ru
1 3 1
direct
0.000 0.000 0.000
0.000 0.500 0.000
0.000 0.000 0.500
0.500 0.000 0.000
0.500 0.500 0.500
```

Values from the calculation:
E_form in eV/atom: 0.66
V in Å³ per atom: 17.81
Total magnetic moment in μB per formula unit: 0.85

---

7.
VASP calculation (PBE-GGA) on a geometry-optimized Co2GeRu structure.

Geometry as POSCAR:
```
Co2GeRu
1.0
4.133 0.000 0.000
2.066 3.579 0.000
2.066 1.193 3.374
Ge Co Ru
1 2 1
direct
0.750 0.750 0.750
0.250 0.250 0.250
0.000 0.000 0.000
0.500 0.500 0.500
```

Values from the calculation:
E_form in eV/atom: -0.04
V in Å³ per atom: 12.47
Total magnetic moment in μB per formula unit: 3.23

---

8.
VASP calculation (PBE-GGA) on a geometry-optimized Co3Ge6Ru structure.

Geometry as POSCAR:
```
Co3Ge6Ru
1.0
5.626 0.000 0.000
2.813 4.872 0.000
2.813 1.624 5.795
Ge Ru Co
6 1 3
direct
0.384 0.749 0.760
0.598 0.261 0.240
0.901 0.598 0.240
0.261 0.901 0.240
0.749 0.107 0.760
0.107 0.384 0.760
0.830 0.830 0.509
0.330 0.330 0.010
0.170 0.170 0.491
0.670 0.670 0.990
```

Values from the calculation:
E_form in eV/atom: -0.10
V in Å³ per atom: 15.89
Total magnetic moment in μB per formula unit: 0.00

---

9.
VASP calculation (PBE-GGA) on a geometry-optimized CoGe2Ru structure.

Geometry as POSCAR:
```
CoGe2Ru
1.0
5.512 0.000 0.000
0.000 5.512 0.000
2.756 2.756 5.104
Co Ge Ru
2 4 2
direct
0.500 0.500 0.000
0.250 0.750 0.500
0.375 0.392 0.750
0.142 0.625 0.250
0.875 0.858 0.750
0.608 0.125 0.250
0.000 0.000 0.000
0.750 0.250 0.500
```

Values from the calculation:
E_form in eV/atom: 0.49
V in Å³ per atom: 19.38
Total magnetic moment in μB per formula unit: 0.00

---

10.
VASP calculation (PBE-GGA) on a geometry-optimized CoGe2Ru structure.

Geometry as POSCAR:
```
CoGe2Ru
1.0
3.004 0.000 0.000
0.000 4.231 0.000
0.000 0.000 4.231
Co Ru Ge
1 1 2
direct
0.500 0.500 0.500
0.500 0.000 0.000
0.000 0.500 0.000
0.000 0.000 0.500
```

Values from the calculation:
E_form in eV/atom: -0.09
V in Å³ per atom: 13.45
Total magnetic moment in μB per formula unit: 0.71

---

11.
VASP calculation (PBE-GGA) on a geometry-optimized Co2Ge2Ru structure.

Geometry as POSCAR:
```
Co2Ge2Ru
1.0
6.847 0.000 0.000
0.000 6.847 0.000
0.000 0.000 2.714
Ru Co Ge
2 4 4
direct
0.500 0.500 0.000
0.000 0.000 0.000
0.857 0.357 0.500
0.643 0.857 0.500
0.143 0.643 0.500
0.357 0.143 0.500
0.654 0.154 0.000
0.346 0.846 0.000
0.154 0.346 0.000
0.846 0.654 0.000
```

Values from the calculation:
E_form in eV/atom: -0.06
V in Å³ per atom: 12.73
Total magnetic moment in μB per formula unit: 0.50

---

12.
VASP calculation (PBE-GGA) on a geometry-optimized Co2Ge2Ru structure.

Geometry as POSCAR:
```
Co2Ge2Ru
1.0
-5.504 -3.406 2.395
4.143 -4.875 2.588
0.163 1.376 2.331
Co Ru Ge
4 2 4
direct
0.629 0.129 0.000
0.129 0.371 0.000
0.371 0.871 0.000
0.871 0.629 0.000
0.500 0.500 0.000
0.000 0.000 0.000
0.830 0.330 0.500
0.670 0.830 0.500
0.170 0.670 0.500
0.330 0.170 0.500
```

Values from the calculation:
E_form in eV/atom: 0.07
V in Å³ per atom: 12.92
Total magnetic moment in μB per formula unit: 0.70

---

13.
VASP calculation (PBE-GGA) on a geometry-optimized CoGe6Ru3 structure.

Geometry as POSCAR:
```
CoGe6Ru3
1.0
6.151 0.000 0.968
0.000 6.352 0.000
1.272 0.000 8.335
Ru Co Ge
6 2 12
direct
0.468 0.138 0.245
0.500 0.500 0.000
0.000 0.000 0.500
0.968 0.362 0.745
0.532 0.862 0.755
0.032 0.638 0.255
0.000 0.000 0.000
0.500 0.500 0.500
0.692 0.478 0.217
0.355 0.804 0.416
0.308 0.522 0.783
0.645 0.196 0.584
0.145 0.304 0.084
0.333 0.865 0.073
0.192 0.022 0.717
0.808 0.978 0.283
0.667 0.135 0.927
0.855 0.696 0.916
0.167 0.365 0.427
0.833 0.635 0.573
```

Values from the calculation:
E_form in eV/atom: -0.13
V in Å³ per atom: 15.89
Total magnetic moment in μB per formula unit: 0.00

---

14.
VASP calculation (PBE-GGA) on a geometry-optimized CoGe2Ru structure.

Geometry as POSCAR:
```
CoGe2Ru
1.0
3.717 0.000 0.000
1.859 3.219 0.000
1.859 1.073 4.921
Ge Co Ru
2 1 1
direct
0.257 0.257 0.230
0.074 0.074 0.778
0.676 0.676 0.971
0.493 0.493 0.521
```

Values from the calculation:
E_form in eV/atom: -0.07
V in Å³ per atom: 14.73
Total magnetic moment in μB per formula unit: 0.00

---

15.
VASP calculation (PBE-GGA) on a geometry-optimized Co2GeRu structure.

Geometry as POSCAR:
```
Co2GeRu
1.0
-2.073 1.442 2.808
0.123 -3.182 1.725
3.025 1.038 1.700
Co Ru Ge
2 1 1
direct
0.000 0.000 0.500
0.000 0.500 0.000
0.500 0.000 0.000
0.500 0.500 0.500
```

Values from the calculation:
E_form in eV/atom: 0.03
V in Å³ per atom: 12.38
Total magnetic moment in μB per formula unit: 2.30

---

16.
VASP calculation (PBE-GGA) on a geometry-optimized Co2Ge4Ru structure.

Geometry as POSCAR:
```
Co2Ge4Ru
1.0
-3.902 4.048 -1.607
-1.633 0.757 -4.768
-5.044 -0.709 -0.178
Co Ge Ru
2 4 1
direct
0.500 0.500 0.500
0.000 0.500 0.500
0.500 0.000 0.500
0.000 0.500 0.000
0.500 0.500 0.000
0.000 0.000 0.500
0.000 0.000 0.000
```

Values from the calculation:
E_form in eV/atom: 0.03
V in Å³ per atom: 14.56
Total magnetic moment in μB per formula unit: 0.01

---

17.
VASP calculation (PBE-GGA) on a geometry-optimized Co2GeRu structure.

Geometry as POSCAR:
```
Co2GeRu
1.0
3.545 0.000 0.000
0.000 3.545 0.000
1.773 1.773 8.767
Ge Co Ru
2 4 2
direct
0.250 0.750 0.500
0.500 0.500 0.000
0.875 0.851 0.750
0.375 0.399 0.750
0.149 0.625 0.250
0.601 0.125 0.250
0.750 0.250 0.500
0.000 0.000 0.000
```

Values from the calculation:
E_form in eV/atom: 0.38
V in Å³ per atom: 13.77
Total magnetic moment in μB per formula unit: 3.88

---

18.
VASP calculation (PBE-GGA) on a geometry-optimized CoSiGeRu structure.

Geometry as POSCAR:
```
CoSiGeRu
1.0
4.167 0.000 0.000
2.084 3.609 0.000
2.084 1.203 3.403
Co Ge Si Ru
1 1 1 1
direct
0.250 0.250 0.250
0.000 0.000 0.000
0.500 0.500 0.500
0.750 0.750 0.750
```

Values from the calculation:
V in Å³ per atom: 12.79
Energy relative to the elements, uncorrected in eV/atom: -0.22
Total magnetic moment in μB per formula unit: 0.95

---

19.
VASP calculation (PBE-GGA) on a geometry-optimized Sm2Co3Ge4Ru structure.

Geometry as POSCAR:
```
Sm2Co3Ge4Ru
1.0
4.171 0.000 0.000
0.000 4.171 0.000
0.000 0.000 9.604
Ge Co Ru Sm
4 3 1 2
direct
0.000 0.500 0.368
0.000 0.000 0.000
0.500 0.000 0.632
0.500 0.500 0.000
0.500 0.000 0.878
0.000 0.500 0.122
0.000 0.000 0.500
0.500 0.500 0.500
0.500 0.000 0.247
0.000 0.500 0.753
```

Values from the calculation:
E_form in eV/atom: -0.58
V in Å³ per atom: 16.71
Total magnetic moment in μB per formula unit: 0.00

---

20.
VASP calculation (PBE-GGA) on a geometry-optimized SmCoGe2Ru structure.

Geometry as POSCAR:
```
SmCoGe2Ru
1.0
4.129 0.000 0.000
0.000 4.129 0.000
-2.064 -2.064 5.100
Ge Sm Ru Co
2 1 1 1
direct
0.629 0.629 0.258
0.371 0.371 0.742
0.000 0.000 0.000
0.250 0.750 0.500
0.750 0.250 0.500
```

Values from the calculation:
E_form in eV/atom: -0.62
V in Å³ per atom: 17.39
Total magnetic moment in μB per formula unit: 0.00

---

21.
VASP calculation (PBE-GGA) on a geometry-optimized TbCoGe2Ru structure.

Geometry as POSCAR:
```
TbCoGe2Ru
1.0
-1.192 -3.009 -2.524
2.969 1.036 -2.637
2.278 -2.207 4.891
Tb Ru Co Ge
1 1 1 2
direct
0.000 0.000 0.000
0.750 0.250 0.500
0.250 0.750 0.500
0.627 0.627 0.255
0.373 0.373 0.745
```

Values from the calculation:
E_form in eV/atom: -0.63
V in Å³ per atom: 17.03
Total magnetic moment in μB per formula unit: 0.00

---

22.
VASP calculation (PBE-GGA) on a geometry-optimized TbCoGe3Ru structure.

Geometry as POSCAR:
```
TbCoGe3Ru
1.0
-0.717 -4.895 -2.756
-1.303 -3.495 6.545
-4.663 2.804 -3.766
Ge Tb Co Ru
6 2 2 2
direct
0.500 0.241 0.000
0.750 0.762 0.523
0.500 0.759 0.000
0.000 0.759 0.000
0.000 0.241 0.000
0.250 0.238 0.477
0.750 0.246 0.493
0.250 0.754 0.507
0.750 0.963 0.926
0.250 0.037 0.074
0.750 0.548 0.097
0.250 0.452 0.903
```

Values from the calculation:
E_form in eV/atom: -0.22
V in Å³ per atom: 19.34
Total magnetic moment in μB per formula unit: 0.00

---

23.
VASP calculation (PBE-GGA) on a geometry-optimized Tb2Co3Ge4Ru structure.

Geometry as POSCAR:
```
Tb2Co3Ge4Ru
1.0
4.140 0.000 0.000
0.000 4.140 0.000
0.000 0.000 9.550
Co Ge Ru Tb
3 4 1 2
direct
0.000 0.500 0.122
0.000 0.000 0.500
0.500 0.000 0.878
0.000 0.000 0.000
0.500 0.000 0.634
0.500 0.500 0.000
0.000 0.500 0.366
0.500 0.500 0.500
0.000 0.500 0.753
0.500 0.000 0.247
```

Values from the calculation:
E_form in eV/atom: -0.59
V in Å³ per atom: 16.37
Total magnetic moment in μB per formula unit: 0.00

---

24.
VASP calculation (PBE-GGA) on a geometry-optimized ThCoGe2Ru structure.

Geometry as POSCAR:
```
ThCoGe2Ru
1.0
-0.444 -0.079 -4.134
-2.207 -3.512 0.304
-2.973 4.532 2.324
Ge Ru Co Th
2 1 1 1
direct
0.629 0.629 0.258
0.371 0.371 0.742
0.750 0.250 0.500
0.250 0.750 0.500
0.000 0.000 0.000
```

Values from the calculation:
E_form in eV/atom: -0.63
V in Å³ per atom: 17.68
Total magnetic moment in μB per formula unit: 0.00